## CaLaTe2 (PBEsol)

Data for a geometry-optimized CaLaTe2 structure.

Cell lengths 8.639, 8.639, 8.639 Å; angles 131.55, 131.55, 70.94 degrees
Sites, in units of the cell vectors:
Ca 0.000 0.000 0.000
Ca 0.750 0.250 0.500
La 0.250 0.750 0.500
La 0.500 0.500 0.000
Te 0.116 0.625 0.991
Te 0.375 0.366 0.491
Te 0.634 0.125 0.009
Te 0.875 0.884 0.509

formation energy without anion corrections	-1090.4	meV per atom


## Be2AlAs (PBEsol)

Data for a geometry-optimized Be2AlAs structure.

Cell lengths 3.309, 3.309, 4.784 Å; angles 90.00, 90.00, 90.00 degrees
Sites, in units of the cell vectors:
Be 0.000 0.000 0.000
Be 0.500 0.500 0.248
Al 0.000 0.000 0.487
As 0.500 0.500 0.774

DFT formation energy	0.33	eV/atom


| no. | excess energy over the best structure of this formula in the dataset (meV/atom) | density of states at the Fermi level (states/eV/atom) |
| --- | --- | --- |
| 1 | 508 | 0.683 |
| 2 | 14 | 0.297 |